(1)
VASP calculation (PBE) on a relaxed Nd4Pa3Se8 crystal.

a b c (Å): 9.276 9.276 9.276
angles (deg): 50.43 50.43 50.43
Fractional coordinates of all 15 atoms:
Nd  0.000  0.000  0.000
Nd  0.147  0.147  0.147
Nd  0.500  0.500  0.500
Nd  0.853  0.853  0.853
Pa  0.000  0.500  0.500
Pa  0.500  0.000  0.500
Pa  0.500  0.500  0.000
Se  0.251  0.251  0.737
Se  0.251  0.737  0.251
Se  0.262  0.262  0.262
Se  0.263  0.749  0.749
Se  0.737  0.251  0.251
Se  0.738  0.738  0.738
Se  0.749  0.263  0.749
Se  0.749  0.749  0.263

Computed properties:
- Energy relative to the elements, uncorrected: -1.31 eV/atom
- Space group: No. 166



(2)
VASP calculation (PBE) on a relaxed HoRe2PbO8 crystal.

a b c (Å): 6.019 6.019 7.111
angles (deg): 90.00 90.00 120.00
Fractional coordinates of all 12 atoms:
Ho  0.000  0.000  0.000
Re  0.333  0.667  0.277
Re  0.667  0.333  0.723
Pb  0.000  0.000  0.500
O  0.164  0.328  0.204
O  0.164  0.836  0.204
O  0.328  0.164  0.796
O  0.333  0.667  0.527
O  0.667  0.333  0.473
O  0.672  0.836  0.204
O  0.836  0.164  0.796
O  0.836  0.672  0.796

Computed properties:
- Energy relative to the elements, uncorrected: -1.73 eV/atom
- Space group: No. 164



(3)
VASP calculation (PBE) on a relaxed Ce2Mg3Ag4 crystal.

a b c (Å): 8.956 8.956 7.988
angles (deg): 90.00 90.00 139.98
Fractional coordinates of all 18 atoms:
Ce  0.102  0.898  0.903
Ce  0.398  0.602  0.403
Ce  0.602  0.398  0.597
Ce  0.898  0.102  0.097
Mg  0.000  0.000  0.500
Mg  0.019  0.481  0.750
Mg  0.481  0.019  0.250
Mg  0.500  0.500  0.000
Mg  0.519  0.981  0.750
Mg  0.981  0.519  0.250
Ag  0.172  0.828  0.524
Ag  0.186  0.314  0.750
Ag  0.314  0.186  0.250
Ag  0.328  0.672  0.024
Ag  0.672  0.328  0.976
Ag  0.686  0.814  0.750
Ag  0.814  0.686  0.250
Ag  0.828  0.172  0.476

Computed properties:
- Calculated total energy: -3.238 eV/atom
- Space group: No. 64



(4)
VASP calculation (PBE) on a relaxed HfReS2N crystal.

a b c (Å): 4.999 4.999 3.986
angles (deg): 90.00 90.00 90.00
Fractional coordinates of all 5 atoms:
Hf  0.000  0.000  0.000
Re  0.500  0.500  0.500
S  0.000  0.500  0.000
S  0.500  0.000  0.000
N  0.000  0.000  0.500

Computed properties:
- E above lowest polymorph: 0.6181 eV per atom
- Energy relative to the elements, uncorrected: 0.74 eV/atom
- Space group: No. 123



(5)
VASP calculation (PBE) on a relaxed Sc3Cr crystal.

a b c (Å): 6.299 6.299 9.979
angles (deg): 90.00 90.00 120.00
Fractional coordinates of all 16 atoms:
Sc  0.000  0.500  0.000
Sc  0.000  0.500  0.500
Sc  0.162  0.324  0.250
Sc  0.162  0.838  0.250
Sc  0.324  0.162  0.750
Sc  0.500  0.000  0.000
Sc  0.500  0.000  0.500
Sc  0.500  0.500  0.000
Sc  0.500  0.500  0.500
Sc  0.676  0.838  0.250
Sc  0.838  0.162  0.750
Sc  0.838  0.676  0.750
Cr  0.000  0.000  0.000
Cr  0.000  0.000  0.500
Cr  0.333  0.667  0.750
Cr  0.667  0.333  0.250

Computed properties:
- Calculated total energy: -6.954 eV/atom
- Space group: No. 194



(6)
VASP calculation (PBE) on a relaxed CaBe2CoAg crystal.

a b c (Å): 4.234 4.234 4.878
angles (deg): 90.00 90.00 90.00
Fractional coordinates of all 5 atoms:
Ca  0.000  0.000  0.000
Be  0.000  0.500  0.500
Be  0.500  0.000  0.500
Co  0.000  0.000  0.500
Ag  0.500  0.500  0.000

Computed properties:
- Calculated total energy: -3.351 eV/atom
- Space group: No. 123



(7)
VASP calculation (PBE) on a relaxed Nd7Tl5Ag crystal.

a b c (Å): 8.437 8.437 8.437
angles (deg): 132.18 101.11 97.81
Fractional coordinates of all 13 atoms:
Nd  0.000  0.000  0.000
Nd  0.291  0.596  0.695
Nd  0.373  0.373  0.000
Nd  0.409  0.080  0.330
Nd  0.750  0.080  0.670
Nd  0.826  0.326  0.500
Nd  0.901  0.596  0.305
Tl  0.079  0.081  0.476
Tl  0.079  0.602  0.998
Tl  0.323  0.823  0.500
Tl  0.605  0.081  0.002
Tl  0.605  0.602  0.524
Ag  0.674  0.674  0.000

Computed properties:
- Calculated total energy: -3.849 eV/atom
- Space group: No. 44



(8)
VASP calculation (PBE) on a relaxed BeGeSbI2 crystal.

a b c (Å): 5.695 5.695 5.606
angles (deg): 90.00 90.00 90.00
Fractional coordinates of all 5 atoms:
Be  0.000  0.000  0.000
Ge  0.500  0.500  0.500
Sb  0.500  0.500  0.000
I  0.000  0.500  0.500
I  0.500  0.000  0.500

Computed properties:
- E above lowest polymorph: 0.3753 eV per atom
- Energy relative to the elements, uncorrected: 0.87 eV/atom
- Space group: No. 123



(9)
VASP calculation (PBE) on a relaxed Zn2SiAg crystal.

a b c (Å): 2.804 2.804 8.158
angles (deg): 90.00 90.00 97.84
Fractional coordinates of all 4 atoms:
Zn  0.000  0.000  0.241
Zn  0.000  0.000  0.759
Si  0.500  0.500  0.000
Ag  0.500  0.500  0.500

Computed properties:
- Energy relative to the elements, uncorrected: 0.17 eV/atom
- Space group: No. 65



(10)
VASP calculation (PBE) on a relaxed KZnSnSb crystal.

a b c (Å): 3.842 3.842 7.696
angles (deg): 90.00 90.00 90.00
Fractional coordinates of all 4 atoms:
K  0.000  0.000  0.000
Zn  0.000  0.000  0.482
Sn  0.500  0.500  0.680
Sb  0.500  0.500  0.314

Computed properties:
- Energy relative to the elements, uncorrected: -0.09 eV/atom
- Space group: No. 99



(11)
VASP calculation (PBE) on a relaxed K2TaCd crystal.

a b c (Å): 7.716 7.716 7.716
angles (deg): 158.11 128.90 56.23
Fractional coordinates of all 4 atoms:
K  0.000  0.000  0.000
K  0.706  0.206  0.500
Ta  0.270  0.770  0.500
Cd  0.451  0.451  0.000

Computed properties:
- Calculated total energy: -2.782 eV/atom
- Space group: No. 44



(12)
VASP calculation (PBE) on a relaxed Tl2AgHI4 crystal.

a b c (Å): 8.478 4.152 8.839
angles (deg): 90.00 114.81 90.00
Fractional coordinates of all 8 atoms:
Tl  0.000  0.000  0.000
Tl  0.000  0.500  0.500
Ag  0.500  0.000  0.500
H  0.500  0.500  0.000
I  0.272  0.500  0.298
I  0.301  0.000  0.810
I  0.699  0.000  0.190
I  0.728  0.500  0.702

Computed properties:
- Calculated total energy: -2.213 eV/atom
- Space group: No. 10



Calculated volume / Å³ per atom: 29.13 18.59 22.89 19.92 21.43 17.49 31.28 36.36 15.89 28.40 33.18 35.31